Entry 1:
The following is a DFT calculation (PBE) of a relaxed structure of NdDyYTm.

- Crystal system: cubic
- Density of states at the Fermi level: 7.4 states/eV/f.u.
- Mass density: 7.2 g/cm³
- Size of the total moment: 0.00 μB/f.u.
- Energy above the most stable polymorph in this dataset: 0.000 eV/atom
- Calculated formation energy: 0.12 eV/atom

a b c (Å): 5.693 5.693 5.693
angles (deg): 60.00 60.00 60.00
Fractional coordinates of all 4 atoms:
Y1 0.250 0.250 0.250
Tm1 0.750 0.750 0.750
Nd1 0.000 0.000 0.000
Dy1 0.500 0.500 0.500

Entry 2:
The following is a DFT calculation (PBE) of a relaxed structure of AlSiBr2.

- Crystal system: cubic
- Density of states at the Fermi level: 3.4 states/eV/f.u.
- E_form (uncorrected): 514 meV/atom
- Mass density: 3.9 g/cm³
- Size of the total moment: 0.01 μB/f.u.
- Energy above the most stable polymorph in this dataset: 0.850 eV/atom

a b c (Å): 5.062 5.062 5.062
angles (deg): 60.00 60.00 60.00
Fractional coordinates of all 4 atoms:
Si1 0.750 0.750 0.750
Al1 0.500 0.500 0.500
Br1 0.000 0.000 0.000
Br2 0.250 0.250 0.250

Entry 3:
The following is a DFT calculation (PBE) of a relaxed structure of NaGa5Au4.

- Crystal system: orthorhombic
- Density of states at the Fermi level: 3.7 states/eV/f.u.
- Mass density: 9.5 g/cm³
- Size of the total moment: 0.00 μB/f.u.
- Calculated formation energy: -0.14 eV/atom

a b c (Å): 4.255 5.363 9.515
angles (deg): 106.37 102.92 90.00
Fractional coordinates of all 10 atoms:
Na1 0.000 0.000 0.000
Ga1 0.639 0.139 0.279
Ga2 0.822 0.322 0.644
Ga3 0.178 0.678 0.356
Ga4 0.000 0.500 0.000
Ga5 0.361 0.861 0.721
Au1 0.414 0.414 0.828
Au2 0.774 0.774 0.548
Au3 0.226 0.226 0.452
Au4 0.586 0.586 0.172

Entry 4:
The following is a DFT calculation (PBE) of a relaxed structure of CuRe2Te.

- Crystal system: monoclinic
- Density of states at the Fermi level: 3.1 states/eV/f.u.
- E_form (uncorrected): 704 meV/atom
- Mass density: 11.9 g/cm³
- Size of the total moment: 0.00 μB/f.u.

a b c (Å): 4.520 3.657 4.888
angles (deg): 102.92 90.00 90.00
Fractional coordinates of all 4 atoms:
Cu1 0.500 0.750 0.750
Re1 0.000 0.073 0.918
Re2 0.000 0.427 0.582
Te1 0.500 0.250 0.250